No. 1
LaCeThGa: relaxed, PBE-GGA.

Output
**DFT formation energy**: -29.3 meV/atom
**DOS(E_F)**: 2.1120 states/eV per atom

Unit cell a=5.3734 b=5.3734 c=5.3734 alpha=60.00 beta=60.00 gamma=60.00
Atoms (fractional coordinates):
La  0.0000  0.0000  0.0000
Ce  0.7500  0.7500  0.7500
Th  0.5000  0.5000  0.5000
Ga  0.2500  0.2500  0.2500

---

No. 2
LaCeTmGa: relaxed, PBE-GGA.

Output
**DFT formation energy**: -73.3 meV/atom
**DOS(E_F)**: 2.4063 states/eV per atom

Unit cell a=5.4095 b=5.4095 c=5.4095 alpha=60.00 beta=60.00 gamma=60.00
Atoms (fractional coordinates):
La  0.0000  0.0000  0.0000
Ce  0.5000  0.5000  0.5000
Tm  0.7500  0.7500  0.7500
Ga  0.2500  0.2500  0.2500

---

No. 3
LaCeZnGa: relaxed, PBE-GGA.

Output
**DFT formation energy**: -375.9 meV/atom
**Excess energy over the best structure of this formula in the dataset**: 0.0 meV per atom
**DOS(E_F)**: 1.9416 states/eV per atom

Unit cell a=3.6677 b=3.6677 c=7.5060 alpha=90.00 beta=90.00 gamma=90.00
Atoms (fractional coordinates):
La  0.0000  0.0000  0.0000
Ce  0.0000  0.0000  0.5016
Zn  0.5000  0.5000  0.2619
Ga  0.5000  0.5000  0.7422